First-principles (PBE) data for a geometry-optimized HfSnBPb2 structure, as listed in Alexandria.

E_tot in eV per atom: -5.1059
V in Å³/cell: 120

Cell: 5.0470 5.0470 4.7239 Å, 90.00 90.00 90.00°
Closest atoms and distances in Å follow each position.
Space group P4/mmm (No. 123)
Inequivalent atoms, fractional coordinates:
Hf 0.0000 0.0000 0.0000  2 B 2.36
Sn 0.5000 0.5000 0.0000  8 Pb 3.46, 4 Hf 3.57
B 0.0000 0.0000 0.5000  2 Hf 2.36, 4 Pb 2.52
Pb 0.0000 0.5000 0.5000  2 B 2.52